Record 1
The following is a PBE-GGA calculation of an optimized crystal structure of MnSiRu2, from Alexandria via LeMat-Bulk.

Structure (extended XYZ):
```
4
Lattice="4.175 0.000 0.000 0.000 4.175 0.000 0.000 0.000 2.975" Properties=species:S:1:pos:R:3 pbc="T T T"
Mn 0.000 0.000 0.000
Si 2.087 2.087 0.000
Ru 0.000 2.087 1.488
Ru 2.087 0.000 1.488
```

- Total magnetic moment: 3.0 μB per formula unit
- V: 12.96 Å³/atom
- Density: 9.133 Mg/m³
- ΔE_f (raw): -437 meV/atom

=====

Record 2
The following is a PBE-GGA calculation of an optimized crystal structure of MnSiRu2, from Alexandria via LeMat-Bulk.

Structure (extended XYZ):
```
8
Lattice="-2.688 2.688 5.060 2.688 -2.688 5.060 2.688 2.688 -5.060" Properties=species:S:1:pos:R:3 pbc="T T T"
Mn 0.000 0.000 0.000
Mn 0.000 2.688 2.530
Si 2.688 0.000 2.530
Si 0.000 0.000 5.060
Ru 4.032 1.272 -1.265
Ru 1.272 1.344 1.265
Ru -1.344 1.416 3.795
Ru 1.416 1.344 6.325
```

- Total magnetic moment: 0.0 μB per formula unit
- V: 18.28 Å³/atom
- Density: 6.477 Mg/m³
- ΔE_f (raw): 710 meV/atom

=====

Record 3
The following is a PBE-GGA calculation of an optimized crystal structure of MnSiRu2, from Alexandria via LeMat-Bulk.

Structure (extended XYZ):
```
4
Lattice="1.424 -2.283 0.000 1.424 2.283 0.000 0.000 0.000 8.239" Properties=species:S:1:pos:R:3 pbc="T T T"
Mn 0.000 0.000 0.000
Si 1.424 0.000 1.897
Ru 0.000 0.000 3.799
Ru 1.424 0.000 6.155
```

- Total magnetic moment: 2.4 μB per formula unit
- V: 13.39 Å³/atom
- Density: 8.842 Mg/m³
- ΔE_f (raw): 144 meV/atom

=====

Record 4
The following is a PBE-GGA calculation of an optimized crystal structure of MnSiRu2, from Alexandria via LeMat-Bulk.

Structure (extended XYZ):
```
4
Lattice="1.378 0.795 8.023 -1.378 0.795 8.023 0.000 -1.591 8.023" Properties=species:S:1:pos:R:3 pbc="T T T"
Mn 0.000 0.000 0.000
Si 0.000 0.000 12.035
Ru 0.000 0.000 5.958
Ru 0.000 0.000 18.112
```

- Total magnetic moment: 2.0 μB per formula unit
- V: 13.19 Å³/atom
- Density: 8.977 Mg/m³
- ΔE_f (raw): -78 meV/atom